# LiZn8Ni4

A relaxed LiZn8Ni4 crystal (PBE, Alexandria).

Energy relative to the elements = -0.22 eV per atom
Magnetization = 0.00 Bohr magnetons per cell

Structure (CIF):
```
data_LiZn8Ni4
_cell_length_a 8.425
_cell_length_b 8.425
_cell_length_c 5.119
_cell_angle_alpha 90.00
_cell_angle_beta 90.00
_cell_angle_gamma 90.00
_space_group_name_H-M_alt 'I 4/m m m'
_space_group_IT_number 139
_space_group_name_Hall '-I 4 2'
loop_
_atom_site_label
_atom_site_type_symbol
_atom_site_fract_x
_atom_site_fract_y
_atom_site_fract_z
Li1 Li 0.000 0.000 0.000
Zn1 Zn 0.000 0.224 0.500
Zn2 Zn 0.000 0.320 0.000
Ni1 Ni 0.250 0.250 0.250
```

---

# LiZn4Ni2

A relaxed LiZn4Ni2 crystal (PBE, Alexandria).

Energy relative to the elements = -0.18 eV per atom
Magnetization = 0.00 Bohr magnetons per cell

Structure (CIF):
```
data_LiZn4Ni2
_cell_length_a 6.013
_cell_length_b 6.013
_cell_length_c 5.362
_cell_angle_alpha 90.00
_cell_angle_beta 90.00
_cell_angle_gamma 90.00
_space_group_name_H-M_alt 'I 4/m m m'
_space_group_IT_number 139
_space_group_name_Hall '-I 4 2'
loop_
_atom_site_label
_atom_site_type_symbol
_atom_site_fract_x
_atom_site_fract_y
_atom_site_fract_z
Li1 Li 0.000 0.000 0.000
Zn1 Zn 0.250 0.250 0.250
Ni1 Ni 0.000 0.500 0.000
```

---

# Li5Zn4Ni2

A relaxed Li5Zn4Ni2 crystal (PBE, Alexandria).

Energy relative to the elements = -0.17 eV per atom
Magnetization = 0.00 Bohr magnetons per cell
Distance to the lowest polymorph of the same formula = 0.000 eV per atom

Structure (CIF):
```
data_Li5Zn4Ni2
_cell_length_a 7.082
_cell_length_b 2.612
_cell_length_c 8.738
_cell_angle_alpha 90.00
_cell_angle_beta 93.31
_cell_angle_gamma 90.00
_space_group_name_H-M_alt 'P 1 2/m 1'
_space_group_IT_number 10
_space_group_name_Hall '-P 2y'
loop_
_atom_site_label
_atom_site_type_symbol
_atom_site_fract_x
_atom_site_fract_y
_atom_site_fract_z
Li1 Li 0.000 0.000 0.000
Li2 Li 0.054 0.000 0.340
Li3 Li 0.342 0.000 0.853
Zn1 Zn 0.277 0.500 0.575
Zn2 Zn 0.305 0.500 0.137
Ni1 Ni 0.421 0.000 0.363
```

---

# Li2ZnNi3

A relaxed Li2ZnNi3 crystal (PBE, Alexandria).

Energy relative to the elements = -0.10 eV per atom
Magnetization = 0.00 Bohr magnetons per cell
Distance to the lowest polymorph of the same formula = 0.000 eV per atom

Structure (CIF):
```
data_Li2ZnNi3
_cell_length_a 4.7787
_cell_length_b 4.7787
_cell_length_c 11.9688
_cell_angle_alpha 90.00
_cell_angle_beta 90.00
_cell_angle_gamma 120.00
_space_group_name_H-M_alt 'R -3 m'
_space_group_IT_number 166
_space_group_name_Hall '-R 3 2"'
loop_
_atom_site_label
_atom_site_type_symbol
_atom_site_fract_x
_atom_site_fract_y
_atom_site_fract_z
Li1 Li 0.0000 0.0000 0.1202
Zn1 Zn 0.0000 0.0000 0.5000
Ni1 Ni 0.0000 0.5000 0.0000
```

---

# Li12Zn6Ni

A relaxed Li12Zn6Ni crystal (PBE, Alexandria).

Energy relative to the elements = -0.13 eV per atom
Magnetization = 0.00 Bohr magnetons per cell

Structure (CIF):
```
data_Li12Zn6Ni
_cell_length_a 9.4196
_cell_length_b 9.4196
_cell_length_c 12.0318
_cell_angle_alpha 90.00
_cell_angle_beta 90.00
_cell_angle_gamma 120.00
_space_group_name_H-M_alt 'R -3'
_space_group_IT_number 148
_space_group_name_Hall '-R 3'
loop_
_atom_site_label
_atom_site_type_symbol
_atom_site_fract_x
_atom_site_fract_y
_atom_site_fract_z
Li1 Li 0.0380 0.8504 0.3140
Li2 Li 0.0631 0.2209 0.9129
Zn1 Zn 0.0407 0.5931 0.2021
Ni1 Ni 0.0000 0.0000 0.5000
```

---

# LiZn6Ni5

A relaxed LiZn6Ni5 crystal (PBE, Alexandria).

Energy relative to the elements = -0.24 eV per atom
Magnetization = 0.00 Bohr magnetons per cell

Structure (CIF):
```
data_LiZn6Ni5
_cell_length_a 4.163
_cell_length_b 12.509
_cell_length_c 5.663
_cell_angle_alpha 90.00
_cell_angle_beta 90.00
_cell_angle_gamma 90.00
_space_group_name_H-M_alt 'C m m m'
_space_group_IT_number 65
_space_group_name_Hall '-C 2 2'
loop_
_atom_site_label
_atom_site_type_symbol
_atom_site_fract_x
_atom_site_fract_y
_atom_site_fract_z
Li1 Li 0.000 0.000 0.000
Zn1 Zn 0.000 0.170 0.253
Zn2 Zn 0.000 0.500 0.250
Ni1 Ni 0.000 0.000 0.500
Ni2 Ni 0.000 0.334 0.000
Ni3 Ni 0.000 0.338 0.500
```

---

# LiZn2Ni

A relaxed LiZn2Ni crystal (PBE, Alexandria).

Energy relative to the elements = -0.11 eV per atom
Magnetization = 0.00 Bohr magnetons per cell
Distance to the lowest polymorph of the same formula = 0.130 eV per atom

Structure (CIF):
```
data_LiZn2Ni
_cell_length_a 2.6976
_cell_length_b 2.6976
_cell_length_c 25.6012
_cell_angle_alpha 90.00
_cell_angle_beta 90.00
_cell_angle_gamma 120.00
_space_group_name_H-M_alt 'R 3 m'
_space_group_IT_number 160
_space_group_name_Hall 'R 3 -2"'
loop_
_atom_site_label
_atom_site_type_symbol
_atom_site_fract_x
_atom_site_fract_y
_atom_site_fract_z
Li1 Li 0.0000 0.0000 0.0000
Zn1 Zn 0.0000 0.0000 0.2447
Zn2 Zn 0.0000 0.0000 0.4216
Ni1 Ni 0.0000 0.0000 0.8331
```

---

# LiZnNi2

A relaxed LiZnNi2 crystal (PBE, Alexandria).

Energy relative to the elements = -0.03 eV per atom
Magnetization = 0.00 Bohr magnetons per cell

Structure (CIF):
```
data_LiZnNi2
_cell_length_a 2.865
_cell_length_b 4.143
_cell_length_c 8.101
_cell_angle_alpha 90.00
_cell_angle_beta 90.00
_cell_angle_gamma 90.00
_space_group_name_H-M_alt 'C m m m'
_space_group_IT_number 65
_space_group_name_Hall '-C 2 2'
loop_
_atom_site_label
_atom_site_type_symbol
_atom_site_fract_x
_atom_site_fract_y
_atom_site_fract_z
Li1 Li 0.000 0.000 0.000
Zn1 Zn 0.000 0.000 0.500
Ni1 Ni 0.000 0.500 0.253
```

---

# Li2ZnNi2

A relaxed Li2ZnNi2 crystal (PBE, Alexandria).

Energy relative to the elements = 0.19 eV per atom
Magnetization = 1.55 Bohr magnetons per cell
Distance to the lowest polymorph of the same formula = 0.270 eV per atom

Structure (CIF):
```
data_Li2ZnNi2
_cell_length_a 3.252
_cell_length_b 3.252
_cell_length_c 13.818
_cell_angle_alpha 90.00
_cell_angle_beta 90.00
_cell_angle_gamma 90.00
_space_group_name_H-M_alt 'I 4/m m m'
_space_group_IT_number 139
_space_group_name_Hall '-I 4 2'
loop_
_atom_site_label
_atom_site_type_symbol
_atom_site_fract_x
_atom_site_fract_y
_atom_site_fract_z
Li1 Li 0.000 0.000 0.107
Zn1 Zn 0.000 0.000 0.500
Ni1 Ni 0.000 0.500 0.250
```

---

# LiZn2Ni5

A relaxed LiZn2Ni5 crystal (PBE, Alexandria).

Energy relative to the elements = -0.12 eV per atom
Magnetization = 1.63 Bohr magnetons per cell
Distance to the lowest polymorph of the same formula = 0.000 eV per atom

Structure (CIF):
```
data_LiZn2Ni5
_cell_length_a 5.036
_cell_length_b 10.097
_cell_length_c 3.625
_cell_angle_alpha 90.00
_cell_angle_beta 90.00
_cell_angle_gamma 90.00
_space_group_name_H-M_alt 'P b a m'
_space_group_IT_number 55
_space_group_name_Hall '-P 2 2ab'
loop_
_atom_site_label
_atom_site_type_symbol
_atom_site_fract_x
_atom_site_fract_y
_atom_site_fract_z
Li1 Li 0.000 0.000 0.000
Zn1 Zn 0.250 0.126 0.500
Ni1 Ni 0.000 0.253 0.000
Ni2 Ni 0.000 0.500 0.000
Ni3 Ni 0.249 0.374 0.500
```

---

# LiZn2Ni

A relaxed LiZn2Ni crystal (PBE, Alexandria).

Energy relative to the elements = -0.18 eV per atom
Magnetization = 0.00 Bohr magnetons per cell
Distance to the lowest polymorph of the same formula = 0.067 eV per atom

Structure (CIF):
```
data_LiZn2Ni
_cell_length_a 2.907
_cell_length_b 4.167
_cell_length_c 8.519
_cell_angle_alpha 90.00
_cell_angle_beta 90.00
_cell_angle_gamma 90.00
_space_group_name_H-M_alt 'I m m 2'
_space_group_IT_number 44
_space_group_name_Hall 'I 2 -2'
loop_
_atom_site_label
_atom_site_type_symbol
_atom_site_fract_x
_atom_site_fract_y
_atom_site_fract_z
Li1 Li 0.000 0.000 0.000
Zn1 Zn 0.000 0.000 0.484
Zn2 Zn 0.000 0.500 0.238
Ni1 Ni 0.000 0.500 0.750
```

---

# LiZnNi2

A relaxed LiZnNi2 crystal (PBE, Alexandria).

Energy relative to the elements = -0.11 eV per atom
Magnetization = 0.00 Bohr magnetons per cell

Structure (CIF):
```
data_LiZnNi2
_cell_length_a 5.161
_cell_length_b 7.030
_cell_length_c 2.587
_cell_angle_alpha 90.00
_cell_angle_beta 90.00
_cell_angle_gamma 90.00
_space_group_name_H-M_alt 'C m m m'
_space_group_IT_number 65
_space_group_name_Hall '-C 2 2'
loop_
_atom_site_label
_atom_site_type_symbol
_atom_site_fract_x
_atom_site_fract_y
_atom_site_fract_z
Li1 Li 0.000 0.000 0.000
Zn1 Zn 0.000 0.500 0.000
Ni1 Ni 0.250 0.250 0.500
```

---

# Li5Zn2Ni

A relaxed Li5Zn2Ni crystal (PBE, Alexandria).

Energy relative to the elements = -0.10 eV per atom
Magnetization = 0.00 Bohr magnetons per cell
Distance to the lowest polymorph of the same formula = 0.007 eV per atom

Structure (CIF):
```
data_Li5Zn2Ni
_cell_length_a 7.190
_cell_length_b 11.695
_cell_length_c 2.806
_cell_angle_alpha 90.00
_cell_angle_beta 90.00
_cell_angle_gamma 90.00
_space_group_name_H-M_alt 'P b a m'
_space_group_IT_number 55
_space_group_name_Hall '-P 2 2ab'
loop_
_atom_site_label
_atom_site_type_symbol
_atom_site_fract_x
_atom_site_fract_y
_atom_site_fract_z
Li1 Li 0.000 0.000 0.000
Li2 Li 0.008 0.237 0.000
Li3 Li 0.219 0.383 0.500
Zn1 Zn 0.218 0.617 0.500
Ni1 Ni 0.000 0.500 0.000
```

---

# Li3ZnNi4

A relaxed Li3ZnNi4 crystal (PBE, Alexandria).

Energy relative to the elements = -0.07 eV per atom
Magnetization = 0.00 Bohr magnetons per cell

Structure (CIF):
```
data_Li3ZnNi4
_cell_length_a 5.011
_cell_length_b 5.094
_cell_length_c 7.233
_cell_angle_alpha 90.00
_cell_angle_beta 90.00
_cell_angle_gamma 90.00
_space_group_name_H-M_alt 'P m n a'
_space_group_IT_number 53
_space_group_name_Hall '-P 2ac 2'
loop_
_atom_site_label
_atom_site_type_symbol
_atom_site_fract_x
_atom_site_fract_y
_atom_site_fract_z
Li1 Li 0.000 0.000 0.000
Li2 Li 0.250 0.242 0.250
Zn1 Zn 0.000 0.500 0.000
Ni1 Ni 0.000 0.000 0.500
Ni2 Ni 0.000 0.500 0.500
Ni3 Ni 0.250 0.258 0.750
```

---

# LiZnNi2

A relaxed LiZnNi2 crystal (PBE, Alexandria).

Energy relative to the elements = -0.06 eV per atom
Magnetization = 0.00 Bohr magnetons per cell

Structure (CIF):
```
data_LiZnNi2
_cell_length_a 2.602
_cell_length_b 2.602
_cell_length_c 7.124
_cell_angle_alpha 90.00
_cell_angle_beta 90.00
_cell_angle_gamma 90.00
_space_group_name_H-M_alt 'P 4/m m m'
_space_group_IT_number 123
_space_group_name_Hall '-P 4 2'
loop_
_atom_site_label
_atom_site_type_symbol
_atom_site_fract_x
_atom_site_fract_y
_atom_site_fract_z
Li1 Li 0.000 0.000 0.000
Zn1 Zn 0.000 0.000 0.500
Ni1 Ni 0.500 0.500 0.258
```

---

# LiZn2Ni

A relaxed LiZn2Ni crystal (PBE, Alexandria).

Energy relative to the elements = -0.09 eV per atom
Magnetization = 0.00 Bohr magnetons per cell
Distance to the lowest polymorph of the same formula = 0.156 eV per atom

Structure (CIF):
```
data_LiZn2Ni
_cell_length_a 2.749
_cell_length_b 2.749
_cell_length_c 7.129
_cell_angle_alpha 90.00
_cell_angle_beta 90.00
_cell_angle_gamma 90.00
_space_group_name_H-M_alt 'P 4 m m'
_space_group_IT_number 99
_space_group_name_Hall 'P 4 -2'
loop_
_atom_site_label
_atom_site_type_symbol
_atom_site_fract_x
_atom_site_fract_y
_atom_site_fract_z
Li1 Li 0.000 0.000 0.000
Zn1 Zn 0.000 0.000 0.451
Zn2 Zn 0.500 0.500 0.731
Ni1 Ni 0.500 0.500 0.236
```

---

# Li2ZnNi2

A relaxed Li2ZnNi2 crystal (PBE, Alexandria).

Energy relative to the elements = 0.00 eV per atom
Magnetization = 0.00 Bohr magnetons per cell
Distance to the lowest polymorph of the same formula = 0.080 eV per atom

Structure (CIF):
```
data_Li2ZnNi2
_cell_length_a 6.051
_cell_length_b 6.051
_cell_length_c 3.750
_cell_angle_alpha 90.00
_cell_angle_beta 90.00
_cell_angle_gamma 90.00
_space_group_name_H-M_alt 'P 4/m b m'
_space_group_IT_number 127
_space_group_name_Hall '-P 4 2ab'
loop_
_atom_site_label
_atom_site_type_symbol
_atom_site_fract_x
_atom_site_fract_y
_atom_site_fract_z
Li1 Li 0.168 0.332 0.000
Zn1 Zn 0.000 0.000 0.500
Ni1 Ni 0.133 0.633 0.500
```

---

# Li2Zn3Ni4

A relaxed Li2Zn3Ni4 crystal (PBE, Alexandria).

Energy relative to the elements = -0.15 eV per atom
Magnetization = 0.00 Bohr magnetons per cell

Structure (CIF):
```
data_Li2Zn3Ni4
_cell_length_a 8.143
_cell_length_b 3.735
_cell_length_c 7.588
_cell_angle_alpha 90.00
_cell_angle_beta 110.90
_cell_angle_gamma 90.00
_space_group_name_H-M_alt 'C 1 2/m 1'
_space_group_IT_number 12
_space_group_name_Hall '-C 2y'
loop_
_atom_site_label
_atom_site_type_symbol
_atom_site_fract_x
_atom_site_fract_y
_atom_site_fract_z
Li1 Li 0.165 0.000 0.219
Zn1 Zn 0.000 0.500 0.000
Zn2 Zn 0.167 0.000 0.564
Ni1 Ni 0.000 0.500 0.337
Ni2 Ni 0.168 0.000 0.893
```

---

# Li6Zn5Ni

A relaxed Li6Zn5Ni crystal (PBE, Alexandria).

Energy relative to the elements = -0.13 eV per atom
Magnetization = 0.00 Bohr magnetons per cell

Structure (CIF):
```
data_Li6Zn5Ni
_cell_length_a 3.825
_cell_length_b 8.086
_cell_length_c 11.195
_cell_angle_alpha 90.00
_cell_angle_beta 90.00
_cell_angle_gamma 90.00
_space_group_name_H-M_alt 'I m m m'
_space_group_IT_number 71
_space_group_name_Hall '-I 2 2'
loop_
_atom_site_label
_atom_site_type_symbol
_atom_site_fract_x
_atom_site_fract_y
_atom_site_fract_z
Li1 Li 0.000 0.248 0.000
Li2 Li 0.000 0.248 0.337
Zn1 Zn 0.000 0.000 0.175
Zn2 Zn 0.000 0.500 0.150
Zn3 Zn 0.000 0.500 0.500
Ni1 Ni 0.000 0.000 0.500
```

---

# LiZnNi2

A relaxed LiZnNi2 crystal (PBE, Alexandria).

Energy relative to the elements = -0.12 eV per atom
Magnetization = 0.00 Bohr magnetons per cell

Structure (CIF):
```
data_LiZnNi2
_cell_length_a 3.614
_cell_length_b 3.614
_cell_length_c 3.565
_cell_angle_alpha 90.00
_cell_angle_beta 90.00
_cell_angle_gamma 90.00
_space_group_name_H-M_alt 'P 4/m m m'
_space_group_IT_number 123
_space_group_name_Hall '-P 4 2'
loop_
_atom_site_label
_atom_site_type_symbol
_atom_site_fract_x
_atom_site_fract_y
_atom_site_fract_z
Li1 Li 0.000 0.000 0.000
Zn1 Zn 0.500 0.500 0.000
Ni1 Ni 0.000 0.500 0.500
```

---

# LiZnNi2

A relaxed LiZnNi2 crystal (PBE, Alexandria).

Energy relative to the elements = -0.06 eV per atom
Magnetization = 0.00 Bohr magnetons per cell

Structure (CIF):
```
data_LiZnNi2
_cell_length_a 2.5866
_cell_length_b 2.5866
_cell_length_c 24.8883
_cell_angle_alpha 90.00
_cell_angle_beta 90.00
_cell_angle_gamma 120.00
_space_group_name_H-M_alt 'R -3 m'
_space_group_IT_number 166
_space_group_name_Hall '-R 3 2"'
loop_
_atom_site_label
_atom_site_type_symbol
_atom_site_fract_x
_atom_site_fract_y
_atom_site_fract_z
Li1 Li 0.0000 0.0000 0.0000
Zn1 Zn 0.0000 0.0000 0.5000
Ni1 Ni 0.0000 0.0000 0.2485
```

---

# Li6Zn12Ni

A relaxed Li6Zn12Ni crystal (PBE, Alexandria).

Energy relative to the elements = -0.12 eV per atom
Magnetization = 0.00 Bohr magnetons per cell

Structure (CIF):
```
data_Li6Zn12Ni
_cell_length_a 10.3017
_cell_length_b 10.3017
_cell_length_c 9.2738
_cell_angle_alpha 90.00
_cell_angle_beta 90.00
_cell_angle_gamma 120.00
_space_group_name_H-M_alt 'R -3 m'
_space_group_IT_number 166
_space_group_name_Hall '-R 3 2"'
loop_
_atom_site_label
_atom_site_type_symbol
_atom_site_fract_x
_atom_site_fract_y
_atom_site_fract_z
Li1 Li 0.0871 0.1743 0.2513
Zn1 Zn 0.0000 0.2506 0.5000
Zn2 Zn 0.0562 0.5281 0.6234
Ni1 Ni 0.0000 0.0000 0.5000
```

---

# LiZn2Ni

A relaxed LiZn2Ni crystal (PBE, Alexandria).

Energy relative to the elements = -0.17 eV per atom
Magnetization = 0.00 Bohr magnetons per cell
Distance to the lowest polymorph of the same formula = 0.078 eV per atom

Structure (CIF):
```
data_LiZn2Ni
_cell_length_a 8.854
_cell_length_b 2.680
_cell_length_c 4.461
_cell_angle_alpha 90.00
_cell_angle_beta 101.88
_cell_angle_gamma 90.00
_space_group_name_H-M_alt 'C 1 m 1'
_space_group_IT_number 8
_space_group_name_Hall 'C -2y'
loop_
_atom_site_label
_atom_site_type_symbol
_atom_site_fract_x
_atom_site_fract_y
_atom_site_fract_z
Li1 Li 0.000 0.000 0.000
Zn1 Zn 0.010 0.500 0.523
Zn2 Zn 0.258 0.500 0.230
Ni1 Ni 0.248 0.000 0.729
```